Below is a geometry-optimized Ac4PdI5 structure, with properties calculated at the PBE level.

The value obtained for the total energy is -4.1443 eV/atom. Its formation energy (no corrections) is -1.207 eV/atom. Its total magnetic moment is 0.00 Bohr magnetons per cell. For the density of states at the Fermi level, the calculation gives 9.9 states/eV/cell. The crystal system is monoclinic.

It has space group C2/m (No. 12), with a = 21.1082 Å, b = 4.4216 Å, c = 9.7387 Å, α = 90.00°, β = 103.95° and γ = 90.00°. The inequivalent atoms are Ac at (0.0009, 0.0000, 0.2899), Ac at (0.1499, 0.5000, 0.5875), Pd at (0.0000, 0.5000, 0.5000), I at (0.0000, 0.5000, 0.0000), I at (0.1669, 0.0000, 0.8595) and I at (0.1766, 0.0000, 0.3316).